No. 1
A plane-wave DFT calculation with GGA-PBE was carried out for a geometry-optimized ZnIn2Bi structure.

## Properties
Energy relative to the lowest polymorph listed for this composition   0.0 meV/atom

Unit cell a=3.5018 b=3.5018 c=8.4554 alpha=90.00 beta=90.00 gamma=90.00
Last column: nearest neighbours and their distance in Å.
Space group P4/mmm (No. 123)
Asymmetric unit:
Zn1 0.0000 0.0000 0.0000 x1  8 In 3.06
In1 0.5000 0.5000 0.2116 x2  4 Zn 3.06
Bi1 0.0000 0.0000 0.5000 x1  8 In 3.48, 4 Bi 3.50

=====

No. 2
A plane-wave DFT calculation with GGA-PBE was carried out for a geometry-optimized HS2Cl structure.

## Properties
Energy relative to the lowest polymorph listed for this composition   690.9 meV/atom

Unit cell a=4.5275 b=4.5275 c=13.2368 alpha=90.00 beta=90.00 gamma=90.00
Last column: nearest neighbours and their distance in Å.
Space group I-42d (No. 122)
Asymmetric unit:
H1 0.0000 0.0000 0.0000 x4  4 S 2.01
S1 0.0280 0.2500 0.1250 x8  2 H 2.01
Cl1 0.0000 0.0000 0.5000 x4  8 S 2.93-3.12, 4 H 3.20

=====

No. 3
A plane-wave DFT calculation with GGA-PBE was carried out for a geometry-optimized La2NiBr structure.

## Properties
Energy relative to the lowest polymorph listed for this composition   143.2 meV/atom

Unit cell a=3.6656 b=3.5914 c=8.0373 alpha=90.00 beta=96.19 gamma=90.00
Last column: nearest neighbours and their distance in Å.
Space group P2/m (No. 10)
Asymmetric unit:
La1 0.0989 0.0000 0.2925 x2  2 Ni 2.76
Ni1 0.5000 0.5000 0.5000 x1  4 La 2.76
Br1 0.5000 0.5000 0.0000 x1  8 La 3.41-3.53, 4 Br 3.59-3.67

=====

No. 4
A plane-wave DFT calculation with GGA-PBE was carried out for a geometry-optimized Ac6CoRu2Au structure.

## Properties
Raw total energy   -5.5800 eV/atom

Unit cell a=7.4630 b=7.4744 c=8.0725 alpha=90.08 beta=117.52 gamma=119.91
Last column: nearest neighbours and their distance in Å.
Space group P1 (No. 1)
Asymmetric unit:
Ac1 0.0000 0.0000 0.0000 x1  1 Co 2.86, 2 Ru 2.98-3.02, 1 Au 3.20
Ac2 0.0032 0.8224 0.4808 x1  1 Co 2.98, 2 Ru 3.00-3.02, 1 Au 3.14
Ac3 0.3029 0.4711 0.4804 x1  1 Co 2.98, 2 Ru 3.00-3.02, 1 Au 3.14
Ac4 0.3562 0.6472 0.9998 x1  1 Co 2.86, 2 Ru 2.97-3.02, 1 Au 3.20
Ac5 0.6468 0.2899 0.0000 x1  1 Co 2.86, 2 Ru 2.98-3.02, 1 Au 3.20
Ac6 0.6543 0.1229 0.4806 x1  1 Co 2.98, 2 Ru 3.00-3.02, 1 Au 3.14
Co1 0.8185 0.0542 0.2269 x1  6 Ac 2.86-2.98
Ru1 0.4958 0.8930 0.7431 x1  6 Ac 2.97-3.02, 1 Co 3.30
Ru2 0.5101 0.4005 0.2643 x1  6 Ac 3.00-3.02, 1 Au 3.22
Au1 0.8243 0.5574 0.7366 x1  6 Ac 3.14-3.20, 1 Ru 3.22

=====

Number 1: magnetic moment 0.000 μB/atom. Number 2: magnetic moment 0.000 μB/atom. Number 3: magnetic moment 0.000 μB/atom. Number 4: magnetic moment 0.000 μB/atom.